(1)
! BaFeF3 | Alexandria via LeMat-Bulk | PBE+U | relaxed; values from VASP
&SYSTEM
  ibrav = 0, nat = 5, ntyp = 3
/
ATOMIC_SPECIES
Ba 137.33 Ba.upf
F 19.00 F.upf
Fe 55.84 Fe.upf
ATOMIC_POSITIONS angstrom
Ba 2.159 2.159 2.159
F 0.000 2.159 0.000
Fe 0.000 0.000 0.000
F 0.000 0.000 2.159
F 2.159 0.000 0.000
CELL_PARAMETERS angstrom
4.319 0.000 0.000
0.000 4.319 0.000
0.000 0.000 4.319
! density of states at the Fermi level: 10.3 states/eV/cell
! uncorrected energy: -24.65 eV per cell


(2)
! BaFeF3 | Alexandria via LeMat-Bulk | PBE+U | relaxed; values from VASP
&SYSTEM
  ibrav = 0, nat = 5, ntyp = 3
/
ATOMIC_SPECIES
Fe 55.84 Fe.upf
F 19.00 F.upf
Ba 137.33 Ba.upf
ATOMIC_POSITIONS angstrom
Fe 2.532 2.532 2.532
F 0.000 2.532 0.000
F 0.000 0.000 2.532
Ba 0.000 0.000 0.000
F 2.532 0.000 0.000
CELL_PARAMETERS angstrom
5.065 0.000 0.000
0.000 5.065 0.000
0.000 0.000 5.065
! density of states at the Fermi level: 21.4 states/eV/cell
! uncorrected energy: -23.39 eV per cell


(3)
! Ba3FeF | Alexandria via LeMat-Bulk | PBE+U | relaxed; values from VASP
&SYSTEM
  ibrav = 0, nat = 5, ntyp = 3
/
ATOMIC_SPECIES
F 19.00 F.upf
Fe 55.84 Fe.upf
Ba 137.33 Ba.upf
ATOMIC_POSITIONS angstrom
F 0.000 0.000 0.000
Fe 2.795 2.795 2.795
Ba 2.795 0.000 0.000
Ba 0.000 0.000 2.795
Ba 0.000 2.795 0.000
CELL_PARAMETERS angstrom
5.591 0.000 0.000
0.000 5.591 0.000
0.000 0.000 5.591
! density of states at the Fermi level: 7.1 states/eV/cell
! uncorrected energy: -15.73 eV per cell


(4)
! KBaFeF6 | Alexandria via LeMat-Bulk | PBE+U | relaxed; values from VASP
&SYSTEM
  ibrav = 0, nat = 9, ntyp = 4
/
ATOMIC_SPECIES
F 19.00 F.upf
K 39.10 K.upf
Ba 137.33 Ba.upf
Fe 55.84 Fe.upf
ATOMIC_POSITIONS angstrom
F 0.056 -0.416 4.086
F 3.447 -2.069 4.222
F 2.972 1.388 5.665
F 2.074 2.503 3.388
F 1.224 -0.759 1.688
K 2.243 -3.077 2.177
Ba 3.032 1.150 1.313
Fe -0.612 -1.062 2.344
F 4.744 -0.121 2.896
CELL_PARAMETERS angstrom
-1.224 -2.125 4.689
2.679 -5.180 -1.648
3.209 4.315 2.794
! density of states at the Fermi level: 0.0 states/eV/cell
! uncorrected energy: -47.19 eV per cell


(5)
! BaLa2Fe2O5F4 | Alexandria via LeMat-Bulk | PBE+U | relaxed; values from VASP
&SYSTEM
  ibrav = 0, nat = 14, ntyp = 5
/
ATOMIC_SPECIES
O 16.00 O.upf
F 19.00 F.upf
Fe 55.84 Fe.upf
La 138.91 La.upf
Ba 137.33 Ba.upf
ATOMIC_POSITIONS angstrom
O -0.772 -9.012 1.188
O -3.031 -11.026 1.339
O 0.234 -2.843 -1.026
F -0.270 -5.927 0.080
Fe -3.041 -18.938 6.808
O 1.618 -2.207 1.377
F -2.732 -17.047 6.130
Fe -0.254 -1.842 0.675
La -1.050 -6.711 2.421
Ba -1.647 -10.390 3.742
F 1.114 -5.292 2.483
F -0.562 -3.734 1.353
O 0.613 -8.376 3.590
La -2.249 -14.069 5.061
CELL_PARAMETERS angstrom
-0.309 -9.752 6.129
-3.077 -11.024 1.325
4.140 9.561 -4.919
! uncorrected energy: -95.87 eV per cell


(6)
! BaLiFeF6 | Alexandria via LeMat-Bulk | PBE+U | relaxed; values from VASP
&SYSTEM
  ibrav = 0, nat = 9, ntyp = 4
/
ATOMIC_SPECIES
F 19.00 F.upf
Ba 137.33 Ba.upf
Li 6.94 Li.upf
Fe 55.84 Fe.upf
ATOMIC_POSITIONS angstrom
F -2.228 0.632 -0.689
F -4.742 -0.538 -0.426
F -2.609 1.240 -3.177
Ba -2.245 0.877 1.939
Li -1.011 1.733 -1.954
F -4.803 1.794 -1.552
Fe -3.702 0.209 -1.914
F -2.918 -1.554 -2.271
F -4.912 -0.317 -3.367
CELL_PARAMETERS angstrom
-2.021 3.466 -3.909
-3.138 -3.924 -1.857
-1.798 3.278 3.837
! density of states at the Fermi level: 0.0 states/eV/cell
! uncorrected energy: -48.54 eV per cell


(7)
! BaNaFeF6 | Alexandria via LeMat-Bulk | PBE+U | relaxed; values from VASP
&SYSTEM
  ibrav = 0, nat = 9, ntyp = 4
/
ATOMIC_SPECIES
F 19.00 F.upf
Na 22.99 Na.upf
Fe 55.84 Fe.upf
Ba 137.33 Ba.upf
ATOMIC_POSITIONS angstrom
F 1.611 3.572 3.014
F 3.794 4.396 1.586
F 3.794 2.072 3.014
F 1.611 1.247 1.586
F 1.611 3.646 0.287
Na 2.703 0.000 0.000
F 3.794 1.997 0.287
Fe 2.703 2.822 1.629
Ba 0.000 0.000 3.258
CELL_PARAMETERS angstrom
5.406 0.000 0.000
0.000 5.644 0.000
0.000 -2.822 4.888
! density of states at the Fermi level: 0.0 states/eV/cell
! uncorrected energy: -45.31 eV per cell


(8)
! Ba3Fe2O4F2 | Alexandria via LeMat-Bulk | PBE+U | relaxed; values from VASP
&SYSTEM
  ibrav = 0, nat = 11, ntyp = 4
/
ATOMIC_SPECIES
O 16.00 O.upf
F 19.00 F.upf
Fe 55.84 Fe.upf
Ba 137.33 Ba.upf
ATOMIC_POSITIONS angstrom
O 2.045 0.000 9.041
F 0.000 0.000 6.523
O 0.000 2.045 9.041
F 2.045 2.045 4.472
Fe 0.000 0.000 9.177
Ba 0.000 0.000 0.000
Ba 2.045 2.045 7.244
O 2.045 0.000 1.954
Ba 0.000 0.000 3.751
O 0.000 2.045 1.954
Fe 2.045 2.045 1.818
CELL_PARAMETERS angstrom
4.091 0.000 0.000
0.000 4.091 0.000
-2.045 -2.045 10.995
! density of states at the Fermi level: 3.6 states/eV/cell
! uncorrected energy: -65.96 eV per cell